Below is a relaxed NiPtPb crystal, with properties calculated at the PBEsol level.

Computed properties:
Its total magnetic moment is 0.001 μB per formula unit. As for the density of states at the Fermi level: 4.64 states/eV per cell. The formation enthalpy at 0 K comes out at 0.441 eV/f.u.

a b c (Å): 3.4821 3.4821 8.1699
angles (deg): 90.00 90.00 90.00
Last column: nearest neighbours and their distance in Å.
Space group I4mm (No. 107)
Unique sites:
Ni  0.0000  0.0000  0.0000 (multiplicity 2)  5 Pb 2.66-2.84, 5 Pt 2.76-2.83
Pt  0.0000  0.0000  0.6536 (multiplicity 2)  5 Pb 2.68-2.84, 5 Ni 2.76-2.83
Pb  0.0000  0.0000  0.3257 (multiplicity 2)  5 Ni 2.66-2.84, 5 Pt 2.68-2.84